! K2Mn2P2O7F2 (GGA+U, relaxed); values from VASP
! E ... -407.0 eV for the cell shown
! Magnetic moment ... 10.0 μB per formula unit
&SYSTEM
  ibrav = 0, nat = 60, ntyp = 5
/
ATOMIC_SPECIES
K 39.10 K.upf
Mn 54.94 Mn.upf
P 30.97 P.upf
O 16.00 O.upf
F 19.00 F.upf
ATOMIC_POSITIONS crystal
K 0.4991 0.5631 0.1738
K 0.9991 0.4369 0.3262
K 0.4991 0.0631 0.8262
K 0.5009 0.4369 0.8262
K 0.9991 0.9369 0.6738
K 0.0009 0.5631 0.6738
K 0.0009 0.0631 0.3262
K 0.5009 0.9369 0.1738
Mn 0.5000 0.2500 0.3338
Mn 0.5000 0.7500 0.6662
Mn 0.0000 0.5000 0.0000
Mn 0.0000 0.2500 0.8338
Mn 0.0000 0.0000 0.0000
Mn 0.0000 0.7500 0.1662
Mn 0.5000 0.0000 0.5000
Mn 0.5000 0.5000 0.5000
P 0.7848 0.7488 0.4226
P 0.2152 0.2512 0.5774
P 0.2848 0.2512 0.0774
P 0.7152 0.2488 0.0774
P 0.7152 0.7488 0.9226
P 0.7848 0.2488 0.5774
P 0.2848 0.7512 0.9226
P 0.2152 0.7512 0.4226
O 0.0000 0.7500 0.4821
O 0.7755 0.1130 0.0841
O 0.2005 0.6887 0.3030
O 0.6743 0.3266 0.4864
O 0.7005 0.3113 0.1970
O 0.8257 0.8266 0.0136
O 0.7245 0.1130 0.5841
O 0.6743 0.8266 0.5136
O 0.7245 0.6130 0.4159
O 0.5000 0.7500 0.9821
O 0.3257 0.6734 0.5136
O 0.2755 0.8870 0.4159
O 0.2245 0.3870 0.0841
O 0.1743 0.6734 0.0136
O 0.3257 0.1734 0.4864
O 0.7005 0.8113 0.8030
O 0.7995 0.3113 0.6970
O 0.0000 0.2500 0.5179
O 0.2995 0.1887 0.1970
O 0.2995 0.6887 0.8030
O 0.2755 0.3870 0.5841
O 0.2005 0.1887 0.6970
O 0.8257 0.3266 0.9864
O 0.5000 0.2500 0.0179
O 0.7995 0.8113 0.3030
O 0.7755 0.6130 0.9159
O 0.2245 0.8870 0.9159
O 0.1743 0.1734 0.9864
F 0.1180 0.9288 0.1561
F 0.3820 0.9288 0.6561
F 0.3820 0.4288 0.3439
F 0.8820 0.0712 0.8439
F 0.1180 0.4288 0.8439
F 0.6180 0.0712 0.3439
F 0.6180 0.5712 0.6561
F 0.8820 0.5712 0.1561
CELL_PARAMETERS angstrom
6.9928 0.0000 0.0000
0.0000 10.8002 0.0000
0.0000 0.0000 11.4653